5
Lattice="-1.1358 6.0794 -0.2364 -0.3654 0.1093 4.5662 6.0639 1.1507 0.4578" Properties=species:S:1:pos:R:3 comment="SrLiLa2H, optimized geometry, DFT PBE" magnetic_moment_mub_per_fu=0.0 de_polymorph_mev_per_atom=1306 pbc="T T T"
Sr 0.0000 0.0000 0.0000
Li -0.1827 0.0546 2.2831
H 2.2813 3.6696 2.3938
La 3.0319 0.5753 0.2289
La -0.5679 3.0397 -0.1182